Below is an optimized crystal structure of Rb2SiPPb, with properties calculated at the PBE level.

Its total energy is -2.78 eV per atom. For the uncorrected formation energy, the calculation gives 518 meV/atom. For the volume, the calculation gives 46.51 A^3/atom.

CIF file:
```
data_Rb2SiPPb
_chemical_formula_sum 'Rb2 Si1 P1 Pb1'
_symmetry_space_group_name_H-M 'P 4/m m m'
_symmetry_Int_Tables_number 123
_symmetry_space_group_name_Hall '-P 4 2'
_cell_length_a 6.578
_cell_length_b 6.578
_cell_length_c 5.374
_cell_angle_alpha 90.00
_cell_angle_beta 90.00
_cell_angle_gamma 90.00
loop_
_atom_site_label
_atom_site_fract_x
_atom_site_fract_y
_atom_site_fract_z
Rb1 0.000 0.500 0.000
Si1 0.000 0.000 0.500
P1 0.500 0.500 0.000
Pb1 0.500 0.500 0.500
```

Below is an optimized crystal structure of ZrNpRu4, with properties calculated at the PBE level.

Its total energy is -9.90 eV per atom. The value obtained for the energy of formation is -12.54 kJ per mole of atoms. For the volume, the calculation gives 17.17 A^3/atom.

CIF file:
```
data_ZrNpRu4
_chemical_formula_sum 'Zr4 Np4 Ru16'
_symmetry_space_group_name_H-M 'F -4 3 m'
_symmetry_Int_Tables_number 216
_symmetry_space_group_name_Hall 'F -4 2 3'
_cell_length_a 7.441
_cell_length_b 7.441
_cell_length_c 7.441
_cell_angle_alpha 90.00
_cell_angle_beta 90.00
_cell_angle_gamma 90.00
loop_
_atom_site_label
_atom_site_fract_x
_atom_site_fract_y
_atom_site_fract_z
Zr1 0.000 0.000 0.000
Np1 0.250 0.250 0.750
Ru1 0.125 0.125 0.375
```

Below is an optimized crystal structure of CaAc3Pr3, with properties calculated at the PBE level.

Its total energy is -3.86 eV per atom. The value obtained for the energy of formation is 22.62 kJ per mole of atoms. For the volume, the calculation gives 42.71 A^3/atom.

CIF file:
```
data_CaAc3Pr3
_chemical_formula_sum 'Ca6 Ac18 Pr18'
_symmetry_space_group_name_H-M 'R -3'
_symmetry_Int_Tables_number 148
_symmetry_space_group_name_Hall '-R 3'
_cell_length_a 8.5512
_cell_length_b 8.5512
_cell_length_c 28.3286
_cell_angle_alpha 90.00
_cell_angle_beta 90.00
_cell_angle_gamma 120.00
loop_
_atom_site_label
_atom_site_fract_x
_atom_site_fract_y
_atom_site_fract_z
Ca1 0.0000 0.0000 0.2020
Ac1 0.0323 0.4554 0.2248
Pr1 0.0514 0.2593 0.6919
```

Below is an optimized crystal structure of SrEr2OsO8, with properties calculated at the PBE level.

Its total energy is -7.45 eV per atom. For the uncorrected formation energy, the calculation gives -2310 meV/atom. For the volume, the calculation gives 14.87 A^3/atom.

CIF file:
```
data_SrEr2OsO8
_chemical_formula_sum 'Sr1 Er2 Os1 O8'
_symmetry_space_group_name_H-M 'P 1 2/m 1'
_symmetry_Int_Tables_number 10
_cell_length_a 5.059
_cell_length_b 6.961
_cell_length_c 5.067
_cell_angle_alpha 90.00
_cell_angle_beta 91.49
_cell_angle_gamma 90.00
loop_
_symmetry_equiv_pos_as_xyz
'x,y,z'
'-x,-y,-z'
'-x,y,-z'
'x,-y,z'
loop_
_atom_site_label
_atom_site_fract_x
_atom_site_fract_y
_atom_site_fract_z
Sr1 0.000 0.000 0.000
Er1 0.500 0.241 0.500
Os1 0.000 0.500 0.000
O1 0.188 0.310 0.186
O2 0.261 0.500 0.738
O3 0.321 0.000 0.676
```

Below is an optimized crystal structure of Pa2Co3Ni12Ge, with properties calculated at the PBE level.

Its total energy is -6.19 eV per atom. The value obtained for the energy of formation is 15.82 kJ per mole of atoms. For the volume, the calculation gives 14.33 A^3/atom.

CIF file:
```
data_Pa2Co3Ni12Ge
_chemical_formula_sum 'Pa6 Co9 Ni36 Ge3'
_symmetry_space_group_name_H-M 'R -3 m'
_symmetry_Int_Tables_number 166
_symmetry_space_group_name_Hall '-R 3 2"'
_cell_length_a 6.2156
_cell_length_b 6.2156
_cell_length_c 23.1344
_cell_angle_alpha 90.00
_cell_angle_beta 90.00
_cell_angle_gamma 120.00
loop_
_atom_site_label
_atom_site_fract_x
_atom_site_fract_y
_atom_site_fract_z
Pa1 0.0000 0.0000 0.1401
Co1 0.0000 0.5000 0.0000
Ni1 0.0300 0.5150 0.8911
Ni2 0.0764 0.5382 0.6201
Ge1 0.0000 0.0000 0.5000
```

Below is an optimized crystal structure of Na4LiHg, with properties calculated at the PBE level.

Its total energy is -1.32 eV per atom. The value obtained for the energy of formation is -6.97 kJ per mole of atoms. For the volume, the calculation gives 30.98 A^3/atom.

CIF file:
```
data_Na4LiHg
_chemical_formula_sum 'Na16 Li4 Hg4'
_symmetry_space_group_name_H-M 'C m c 21'
_symmetry_Int_Tables_number 36
_cell_length_a 4.838
_cell_length_b 23.371
_cell_length_c 6.576
_cell_angle_alpha 90.00
_cell_angle_beta 90.00
_cell_angle_gamma 90.00
loop_
_symmetry_equiv_pos_as_xyz
'x,y,z'
'-x,-y,z+1/2'
'-x,y,z'
'x,-y,z+1/2'
'x+1/2,y+1/2,z'
'-x+1/2,-y+1/2,z+1/2'
'-x+1/2,y+1/2,z'
'x+1/2,-y+1/2,z+1/2'
loop_
_atom_site_label
_atom_site_fract_x
_atom_site_fract_y
_atom_site_fract_z
Na1 0.000 0.034 0.000
Na2 0.000 0.142 0.329
Na3 0.000 0.270 0.066
Na4 0.000 0.427 0.112
Li1 0.000 0.340 0.508
Hg1 0.000 0.156 0.801
```

Below is an optimized crystal structure of BeTc2C2, with properties calculated at the PBE level.

Its total energy is -7.73 eV per atom. The value obtained for the energy of formation is 81.85 kJ per mole of atoms. For the volume, the calculation gives 11.36 A^3/atom.

CIF file:
```
data_BeTc2C2
_chemical_formula_sum 'Be2 Tc4 C4'
_symmetry_space_group_name_H-M 'I 4/m m m'
_symmetry_Int_Tables_number 139
_symmetry_space_group_name_Hall '-I 4 2'
_cell_length_a 3.476
_cell_length_b 3.476
_cell_length_c 9.406
_cell_angle_alpha 90.00
_cell_angle_beta 90.00
_cell_angle_gamma 90.00
loop_
_atom_site_label
_atom_site_fract_x
_atom_site_fract_y
_atom_site_fract_z
Be1 0.000 0.000 0.000
Tc1 0.000 0.000 0.365
C1 0.000 0.500 0.250
```

Below is an optimized crystal structure of Ca2PmRh, with properties calculated at the PBE level.

Its total energy is -4.40 eV per atom. The value obtained for the energy of formation is -35.94 kJ per mole of atoms. For the volume, the calculation gives 30.14 A^3/atom.

CIF file:
```
data_Ca2PmRh
_chemical_formula_sum 'Ca8 Pm4 Rh4'
_symmetry_space_group_name_H-M 'C m c m'
_symmetry_Int_Tables_number 63
_symmetry_space_group_name_Hall '-C 2c 2'
_cell_length_a 3.971
_cell_length_b 12.648
_cell_length_c 9.603
_cell_angle_alpha 90.00
_cell_angle_beta 90.00
_cell_angle_gamma 90.00
loop_
_atom_site_label
_atom_site_fract_x
_atom_site_fract_y
_atom_site_fract_z
Ca1 0.000 0.148 0.068
Pm1 0.000 0.419 0.250
Rh1 0.000 0.231 0.750
```

Q: Number 3 is which compound?
A: CaAc3Pr3